The following is a PBE-GGA calculation of a relaxed Fe7Re6 crystal, from Alexandria.

**Formation energy from the elements**: -39.1 meV/atom
**Magnetization**: 7.3 μB per formula unit
**Final energy**: -134.44 eV for the cell shown

```
Fe7Re6
1.0
-0.123 -2.517 3.944
3.962 -1.717 1.804
2.287 5.739 6.510
Re Fe
6 7
Cartesian
4.345 -0.651 8.051
3.210 1.793 6.797
2.602 -2.527 4.022
1.782 2.156 4.208
2.917 -0.288 5.461
3.525 4.032 8.236
2.842 0.065 2.907
5.314 1.837 8.288
5.253 0.586 10.248
0.813 -0.332 3.970
0.000 0.000 0.000
3.285 1.439 9.351
0.873 0.918 2.011
```